Record 1
Computed, not measured: a geometry-optimized La3Sm2Dy4 structure at the GGA-PBE level of DFT.

## Properties
ΔH_f (0 K)   0.10 eV per atom
M_tot   0.0 μB per cell
Volume   33.68 Å³/atom
ΔE to the lowest computed polymorph   0.004 eV per atom

```
data_La3Sm2Dy4
_chemical_formula_sum 'La12 Sm8 Dy16'
_cell_length_a 16.568
_cell_length_b 11.904
_cell_length_c 6.203
_cell_angle_alpha 90.00
_cell_angle_beta 97.70
_cell_angle_gamma 90.00
_symmetry_space_group_name_H-M 'C 1 2/c 1'
_symmetry_Int_Tables_number 15
_symmetry_space_group_name_Hall '-C 2yc'
loop_
_atom_site_label
_atom_site_fract_x
_atom_site_fract_y
_atom_site_fract_z
La1 0.000 0.126 0.250
La2 0.164 0.366 0.088
Sm1 0.113 0.128 0.797
Dy1 0.056 0.379 0.536
Dy2 0.226 0.121 0.364
```

***

Record 2
Computed, not measured: a geometry-optimized LaSm2Dy7 structure at the GGA-PBE level of DFT.

## Properties
ΔH_f (0 K)   0.68 eV per atom
M_tot   0.0 μB per cell
Volume   39.75 Å³/atom
ΔE to the lowest computed polymorph   0.662 eV per atom

```
data_LaSm2Dy7
_chemical_formula_sum 'La2 Sm4 Dy14'
_cell_length_a 8.693
_cell_length_b 16.386
_cell_length_c 5.582
_cell_angle_alpha 90.00
_cell_angle_beta 90.00
_cell_angle_gamma 90.00
_symmetry_space_group_name_H-M 'C m m m'
_symmetry_Int_Tables_number 65
_symmetry_space_group_name_Hall '-C 2 2'
loop_
_atom_site_label
_atom_site_fract_x
_atom_site_fract_y
_atom_site_fract_z
La1 0.000 0.000 0.000
Sm1 0.000 0.297 0.500
Dy1 0.000 0.216 0.000
Dy2 0.000 0.500 0.500
Dy3 0.177 0.114 0.500
```

***

Record 3
Computed, not measured: a geometry-optimized La6Sm12Dy structure at the GGA-PBE level of DFT.

## Properties
ΔH_f (0 K)   0.29 eV per atom
M_tot   0.0 μB per cell
Volume   35.99 Å³/atom
ΔE to the lowest computed polymorph   0.166 eV per atom

```
data_La6Sm12Dy
_chemical_formula_sum 'La18 Sm36 Dy3'
_cell_length_a 16.9671
_cell_length_b 16.9671
_cell_length_c 8.2291
_cell_angle_alpha 90.00
_cell_angle_beta 90.00
_cell_angle_gamma 120.00
_symmetry_space_group_name_H-M 'R -3 m'
_symmetry_Int_Tables_number 166
_symmetry_space_group_name_Hall '-R 3 2"'
loop_
_atom_site_label
_atom_site_fract_x
_atom_site_fract_y
_atom_site_fract_z
La1 0.0920 0.1839 0.1157
Sm1 0.0000 0.3762 0.0000
Sm2 0.1061 0.5530 0.2882
Dy1 0.0000 0.0000 0.5000
```

***

Record 4
Computed, not measured: a geometry-optimized La7Sm12Dy structure at the GGA-PBE level of DFT.

## Properties
ΔH_f (0 K)   0.22 eV per atom
M_tot   0.0 μB per cell
Volume   35.31 Å³/atom
ΔE to the lowest computed polymorph   0.000 eV per atom

```
data_La7Sm12Dy
_chemical_formula_sum 'La21 Sm36 Dy3'
_cell_length_a 12.7129
_cell_length_b 12.7129
_cell_length_c 15.1363
_cell_angle_alpha 90.00
_cell_angle_beta 90.00
_cell_angle_gamma 120.00
_symmetry_space_group_name_H-M 'R -3'
_symmetry_Int_Tables_number 148
_symmetry_space_group_name_Hall '-R 3'
loop_
_atom_site_label
_atom_site_fract_x
_atom_site_fract_y
_atom_site_fract_z
La1 0.0000 0.0000 0.0000
La2 0.0642 0.8705 0.3113
Sm1 0.0223 0.5837 0.2232
Sm2 0.0659 0.2323 0.8950
Dy1 0.0000 0.0000 0.5000
```

***

Record 5
Computed, not measured: a geometry-optimized La3Sm4Dy4 structure at the GGA-PBE level of DFT.

## Properties
ΔH_f (0 K)   0.16 eV per atom
M_tot   0.0 μB per cell
Volume   34.94 Å³/atom
ΔE to the lowest computed polymorph   0.005 eV per atom

```
data_La3Sm4Dy4
_chemical_formula_sum 'La6 Sm8 Dy8'
_cell_length_a 3.591
_cell_length_b 11.412
_cell_length_c 18.753
_cell_angle_alpha 90.00
_cell_angle_beta 90.00
_cell_angle_gamma 90.00
_symmetry_space_group_name_H-M 'I m m m'
_symmetry_Int_Tables_number 71
_symmetry_space_group_name_Hall '-I 2 2'
loop_
_atom_site_label
_atom_site_fract_x
_atom_site_fract_y
_atom_site_fract_z
La1 0.000 0.000 0.000
La2 0.000 0.500 0.109
Sm1 0.000 0.000 0.215
Sm2 0.000 0.212 0.500
Dy1 0.000 0.255 0.327
```

***

Record 6
Computed, not measured: a geometry-optimized La3Sm4Dy5 structure at the GGA-PBE level of DFT.

## Properties
ΔH_f (0 K)   0.23 eV per atom
M_tot   0.1 μB per cell
Volume   34.34 Å³/atom
ΔE to the lowest computed polymorph   0.207 eV per atom

```
data_La3Sm4Dy5
_chemical_formula_sum 'La6 Sm8 Dy10'
_cell_length_a 16.216
_cell_length_b 6.022
_cell_length_c 9.412
_cell_angle_alpha 90.00
_cell_angle_beta 116.26
_cell_angle_gamma 90.00
_symmetry_space_group_name_H-M 'C 1 2/m 1'
_symmetry_Int_Tables_number 12
_symmetry_space_group_name_Hall '-C 2y'
loop_
_atom_site_label
_atom_site_fract_x
_atom_site_fract_y
_atom_site_fract_z
La1 0.000 0.000 0.000
La2 0.208 0.500 0.228
Sm1 0.083 0.500 0.442
Sm2 0.206 0.500 0.876
Dy1 0.000 0.500 0.000
Dy2 0.072 0.000 0.696
Dy3 0.172 0.000 0.391
```

***

Record 7
Computed, not measured: a geometry-optimized La2SmDy6 structure at the GGA-PBE level of DFT.

## Properties
ΔH_f (0 K)   0.23 eV per atom
M_tot   0.0 μB per cell
Volume   33.83 Å³/atom
ΔE to the lowest computed polymorph   0.119 eV per atom

```
data_La2SmDy6
_chemical_formula_sum 'La2 Sm1 Dy6'
_cell_length_a 7.6443
_cell_length_b 7.6443
_cell_length_c 6.0167
_cell_angle_alpha 90.00
_cell_angle_beta 90.00
_cell_angle_gamma 120.00
_symmetry_space_group_name_H-M 'P -3 m 1'
_symmetry_Int_Tables_number 164
_symmetry_space_group_name_Hall '-P 3 2"'
loop_
_atom_site_label
_atom_site_fract_x
_atom_site_fract_y
_atom_site_fract_z
La1 0.3333 0.6667 0.2839
Sm1 0.0000 0.0000 0.5000
Dy1 0.1881 0.3761 0.7923
```

***

Record 8
Computed, not measured: a geometry-optimized La3Sm4Dy structure at the GGA-PBE level of DFT.

## Properties
ΔH_f (0 K)   0.04 eV per atom
M_tot   0.0 μB per cell
Volume   35.04 Å³/atom
ΔE to the lowest computed polymorph   0.000 eV per atom

```
data_La3Sm4Dy
_chemical_formula_sum 'La6 Sm8 Dy2'
_cell_length_a 11.815
_cell_length_b 7.394
_cell_length_c 6.417
_cell_angle_alpha 90.00
_cell_angle_beta 90.00
_cell_angle_gamma 90.00
_symmetry_space_group_name_H-M 'P m n 21'
_symmetry_Int_Tables_number 31
_symmetry_space_group_name_Hall 'P 2ac -2'
loop_
_atom_site_label
_atom_site_fract_x
_atom_site_fract_y
_atom_site_fract_z
La1 0.000 0.125 0.000
La2 0.248 0.874 0.828
Sm1 0.000 0.377 0.497
Sm2 0.000 0.871 0.496
Sm3 0.249 0.623 0.329
Dy1 0.000 0.622 0.997
```

***

Record 9
Computed, not measured: a geometry-optimized La4SmDy2 structure at the GGA-PBE level of DFT.

## Properties
ΔH_f (0 K)   0.07 eV per atom
M_tot   0.0 μB per cell
Volume   35.21 Å³/atom
ΔE to the lowest computed polymorph   0.000 eV per atom

```
data_La4SmDy2
_chemical_formula_sum 'La16 Sm4 Dy8'
_cell_length_a 6.558
_cell_length_b 24.682
_cell_length_c 6.916
_cell_angle_alpha 90.00
_cell_angle_beta 118.29
_cell_angle_gamma 90.00
_symmetry_space_group_name_H-M 'C 1 c 1'
_symmetry_Int_Tables_number 9
_symmetry_space_group_name_Hall 'C -2yc'
loop_
_atom_site_label
_atom_site_fract_x
_atom_site_fract_y
_atom_site_fract_z
La1 0.000 0.019 0.000
La2 0.086 0.303 0.223
La3 0.131 0.269 0.764
La4 0.495 0.053 0.544
Sm1 0.037 0.125 0.634
Dy1 0.064 0.408 0.590
Dy2 0.108 0.158 0.178
```

***

Record 10
Computed, not measured: a geometry-optimized La2Sm5Dy2 structure at the GGA-PBE level of DFT.

## Properties
ΔH_f (0 K)   0.03 eV per atom
M_tot   0.0 μB per cell
Volume   34.38 Å³/atom
ΔE to the lowest computed polymorph   0.000 eV per atom

```
data_La2Sm5Dy2
_chemical_formula_sum 'La2 Sm5 Dy2'
_cell_length_a 3.642
_cell_length_b 5.665
_cell_length_c 15.259
_cell_angle_alpha 79.39
_cell_angle_beta 89.97
_cell_angle_gamma 90.00
_symmetry_space_group_name_H-M 'P -1'
_symmetry_Int_Tables_number 2
_symmetry_space_group_name_Hall '-P 1'
loop_
_atom_site_label
_atom_site_fract_x
_atom_site_fract_y
_atom_site_fract_z
La1 0.001 0.434 0.127
Sm1 0.001 0.785 0.430
Sm2 0.499 0.114 0.776
Sm3 0.500 0.000 0.000
Dy1 0.499 0.677 0.645
```

***

Record 11
Computed, not measured: a geometry-optimized La2Sm7Dy structure at the GGA-PBE level of DFT.

## Properties
ΔH_f (0 K)   0.15 eV per atom
M_tot   0.0 μB per cell
Volume   34.67 Å³/atom

```
data_La2Sm7Dy
_chemical_formula_sum 'La4 Sm14 Dy2'
_cell_length_a 6.729
_cell_length_b 29.411
_cell_length_c 3.504
_cell_angle_alpha 90.00
_cell_angle_beta 90.00
_cell_angle_gamma 90.00
_symmetry_space_group_name_H-M 'C m m m'
_symmetry_Int_Tables_number 65
_symmetry_space_group_name_Hall '-C 2 2'
loop_
_atom_site_label
_atom_site_fract_x
_atom_site_fract_y
_atom_site_fract_z
La1 0.000 0.204 0.000
Sm1 0.000 0.000 0.000
Sm2 0.000 0.313 0.500
Sm3 0.244 0.403 0.000
Dy1 0.000 0.500 0.500
```

***

Record 12
Computed, not measured: a geometry-optimized La6SmDy8 structure at the GGA-PBE level of DFT.

## Properties
ΔH_f (0 K)   0.11 eV per atom
M_tot   0.0 μB per cell
Volume   34.27 Å³/atom

```
data_La6SmDy8
_chemical_formula_sum 'La18 Sm3 Dy24'
_cell_length_a 9.1539
_cell_length_b 9.1539
_cell_length_c 21.2501
_cell_angle_alpha 90.00
_cell_angle_beta 90.00
_cell_angle_gamma 120.00
_symmetry_space_group_name_H-M 'R -3'
_symmetry_Int_Tables_number 148
_symmetry_space_group_name_Hall '-R 3'
loop_
_atom_site_label
_atom_site_fract_x
_atom_site_fract_y
_atom_site_fract_z
La1 0.0540 0.8069 0.2126
Sm1 0.0000 0.0000 0.5000
Dy1 0.0000 0.0000 0.0767
Dy2 0.0800 0.5131 0.3063
```

***

Record 13
Computed, not measured: a geometry-optimized La4Sm5Dy structure at the GGA-PBE level of DFT.

## Properties
ΔH_f (0 K)   0.16 eV per atom
M_tot   0.0 μB per cell
Volume   35.76 Å³/atom
ΔE to the lowest computed polymorph   0.000 eV per atom

```
data_La4Sm5Dy
_chemical_formula_sum 'La8 Sm10 Dy2'
_cell_length_a 11.900
_cell_length_b 5.642
_cell_length_c 10.652
_cell_angle_alpha 90.00
_cell_angle_beta 90.12
_cell_angle_gamma 90.00
_symmetry_space_group_name_H-M 'C 1 2/m 1'
_symmetry_Int_Tables_number 12
_symmetry_space_group_name_Hall '-C 2y'
loop_
_atom_site_label
_atom_site_fract_x
_atom_site_fract_y
_atom_site_fract_z
La1 0.048 0.000 0.252
La2 0.178 0.500 0.750
Sm1 0.000 0.500 0.000
Sm2 0.196 0.000 0.936
Sm3 0.197 0.000 0.565
Dy1 0.000 0.500 0.500
```

***

Record 14
Computed, not measured: a geometry-optimized La3Sm3Dy4 structure at the GGA-PBE level of DFT.

## Properties
ΔH_f (0 K)   0.09 eV per atom
M_tot   0.7 μB per cell
Volume   34.85 Å³/atom

```
data_La3Sm3Dy4
_chemical_formula_sum 'La6 Sm6 Dy8'
_cell_length_a 3.696
_cell_length_b 13.738
_cell_length_c 13.727
_cell_angle_alpha 90.00
_cell_angle_beta 90.00
_cell_angle_gamma 90.00
_symmetry_space_group_name_H-M 'A m m 2'
_symmetry_Int_Tables_number 38
_symmetry_space_group_name_Hall 'A 2 -2'
loop_
_atom_site_label
_atom_site_fract_x
_atom_site_fract_y
_atom_site_fract_z
La1 0.000 0.000 0.000
La2 0.500 0.248 0.577
Sm1 0.000 0.000 0.651
Sm2 0.000 0.174 0.326
Dy1 0.500 0.000 0.205
Dy2 0.500 0.000 0.448
Dy3 0.500 0.123 0.822
```

***

Record 15
Computed, not measured: a geometry-optimized LaSm3Dy6 structure at the GGA-PBE level of DFT.

## Properties
ΔH_f (0 K)   0.28 eV per atom
M_tot   0.0 μB per cell
Volume   33.22 Å³/atom
ΔE to the lowest computed polymorph   0.068 eV per atom

```
data_LaSm3Dy6
_chemical_formula_sum 'La3 Sm9 Dy18'
_cell_length_a 9.9341
_cell_length_b 9.9341
_cell_length_c 11.6623
_cell_angle_alpha 90.00
_cell_angle_beta 90.00
_cell_angle_gamma 120.00
_symmetry_space_group_name_H-M 'R 3'
_symmetry_Int_Tables_number 146
_symmetry_space_group_name_Hall 'R 3'
loop_
_atom_site_label
_atom_site_fract_x
_atom_site_fract_y
_atom_site_fract_z
La1 0.0000 0.0000 0.0000
Sm1 0.0000 0.0000 0.2517
Sm2 0.0000 0.0000 0.4998
Sm3 0.0000 0.0000 0.7478
Dy1 0.0001 0.3291 0.0004
Dy2 0.0001 0.6748 0.5005
```

***

Record 16
Computed, not measured: a geometry-optimized La15Sm4Dy structure at the GGA-PBE level of DFT.

## Properties
ΔH_f (0 K)   0.01 eV per atom
M_tot   0.0 μB per cell
Volume   35.82 Å³/atom

```
data_La15Sm4Dy
_chemical_formula_sum 'La15 Sm4 Dy1'
_cell_length_a 5.229
_cell_length_b 5.229
_cell_length_c 26.201
_cell_angle_alpha 90.00
_cell_angle_beta 90.00
_cell_angle_gamma 90.00
_symmetry_space_group_name_H-M 'P 4/m m m'
_symmetry_Int_Tables_number 123
_symmetry_space_group_name_Hall '-P 4 2'
loop_
_atom_site_label
_atom_site_fract_x
_atom_site_fract_y
_atom_site_fract_z
La1 0.000 0.000 0.000
La2 0.000 0.000 0.200
La3 0.000 0.000 0.400
La4 0.000 0.500 0.099
La5 0.000 0.500 0.300
La6 0.000 0.500 0.500
Sm1 0.500 0.500 0.199
Sm2 0.500 0.500 0.400
Dy1 0.500 0.500 0.000
```

***

Record 17
Computed, not measured: a geometry-optimized LaSm12Dy7 structure at the GGA-PBE level of DFT.

## Properties
ΔH_f (0 K)   0.16 eV per atom
M_tot   0.0 μB per cell
Volume   33.76 Å³/atom
ΔE to the lowest computed polymorph   0.000 eV per atom

```
data_LaSm12Dy7
_chemical_formula_sum 'La3 Sm36 Dy21'
_cell_length_a 15.1930
_cell_length_b 15.1930
_cell_length_c 10.1317
_cell_angle_alpha 90.00
_cell_angle_beta 90.00
_cell_angle_gamma 120.00
_symmetry_space_group_name_H-M 'R -3'
_symmetry_Int_Tables_number 148
_symmetry_space_group_name_Hall '-R 3'
loop_
_atom_site_label
_atom_site_fract_x
_atom_site_fract_y
_atom_site_fract_z
La1 0.0000 0.0000 0.0000
Sm1 0.0464 0.8435 0.2518
Sm2 0.0477 0.8011 0.5776
Dy1 0.0000 0.0000 0.5000
Dy2 0.0655 0.8190 0.9247
```

***

Record 18
Computed, not measured: a geometry-optimized LaSm6Dy2 structure at the GGA-PBE level of DFT.

## Properties
ΔH_f (0 K)   0.02 eV per atom
M_tot   0.0 μB per cell
Volume   33.72 Å³/atom
ΔE to the lowest computed polymorph   0.000 eV per atom

```
data_LaSm6Dy2
_chemical_formula_sum 'La1 Sm6 Dy2'
_cell_length_a 3.633
_cell_length_b 8.875
_cell_length_c 9.585
_cell_angle_alpha 90.38
_cell_angle_beta 100.91
_cell_angle_gamma 90.09
_symmetry_space_group_name_H-M 'P -1'
_symmetry_Int_Tables_number 2
_symmetry_space_group_name_Hall '-P 1'
loop_
_atom_site_label
_atom_site_fract_x
_atom_site_fract_y
_atom_site_fract_z
La1 0.000 0.000 0.000
Sm1 0.110 0.665 0.221
Sm2 0.222 0.336 0.443
Sm3 0.332 0.001 0.664
Dy1 0.444 0.664 0.888
```

***

Record 19
Computed, not measured: a geometry-optimized La6Sm2Dy3 structure at the GGA-PBE level of DFT.

## Properties
ΔH_f (0 K)   0.01 eV per atom
M_tot   0.0 μB per cell
Volume   34.75 Å³/atom

```
data_La6Sm2Dy3
_chemical_formula_sum 'La18 Sm6 Dy9'
_cell_length_a 3.6763
_cell_length_b 3.6763
_cell_length_c 97.9713
_cell_angle_alpha 90.00
_cell_angle_beta 90.00
_cell_angle_gamma 120.00
_symmetry_space_group_name_H-M 'R -3 m'
_symmetry_Int_Tables_number 166
_symmetry_space_group_name_Hall '-R 3 2"'
loop_
_atom_site_label
_atom_site_fract_x
_atom_site_fract_y
_atom_site_fract_z
La1 0.0000 0.0000 0.0896
La2 0.0000 0.0000 0.1823
La3 0.0000 0.0000 0.3632
Sm1 0.0000 0.0000 0.4534
Dy1 0.0000 0.0000 0.0000
Dy2 0.0000 0.0000 0.2737
```